*A*
First-principles (GGA-PBE) data for a relaxed structure of UTlSn2, as listed in Alexandria via LeMat-Bulk.

Lattice parameters (Å, degrees): 3.1928 3.1928 36.1434 90.00 90.00 120.00
Space group R-3m (No. 166, hexagonal axes)
Symmetry-distinct sites (fractional):
U: 0.0000 0.0000 0.0000 (multiplicity 3)
Tl: 0.0000 0.0000 0.5000 (multiplicity 3)
Sn: 0.0000 0.0000 0.4105 (multiplicity 6)

**Total moment**: 6.0 μB per cell



*B*
First-principles (GGA-PBE) data for a relaxed structure of UTlSn2, as listed in Alexandria via LeMat-Bulk.

Lattice parameters (Å, degrees): 5.809 5.809 3.178 90.00 90.00 90.00
Space group P4/mmm (No. 123)
Symmetry-distinct sites (fractional):
U: 0.000 0.000 0.000 (multiplicity 1)
Tl: 0.500 0.500 0.000 (multiplicity 1)
Sn: 0.000 0.500 0.500 (multiplicity 2)

**Total moment**: 2.5 μB per cell



Stability ranking, top and bottom: *B* is the most stable and *A* is the least stable.



*A*
First-principles (GGA-PBE) data for a relaxed structure of TlVSn2, as listed in Alexandria via LeMat-Bulk.

Lattice parameters (Å, degrees): 3.2597 3.2597 31.0859 90.00 90.00 120.00
Space group R-3m (No. 166, hexagonal axes)
Symmetry-distinct sites (fractional):
Tl: 0.0000 0.0000 0.0000 (multiplicity 3)
V: 0.0000 0.0000 0.5000 (multiplicity 3)
Sn: 0.0000 0.0000 0.0991 (multiplicity 6)

**Total moment**: 3.8 μB per cell



*B*
First-principles (GGA-PBE) data for a relaxed structure of TlVSn2, as listed in Alexandria via LeMat-Bulk.

Lattice parameters (Å, degrees): 4.369 4.369 21.055 90.00 90.00 90.00
Space group I-42d (No. 122)
Symmetry-distinct sites (fractional):
Tl: 0.000 0.000 0.000 (multiplicity 4)
V: 0.000 0.000 0.500 (multiplicity 4)
Sn: 0.238 0.250 0.625 (multiplicity 8)

**Total moment**: 11.6 μB per cell



Stability ranking, top and bottom: *A* is the most stable and *B* is the least stable.